DFT (GGA-PBE) results for an optimized crystal structure of LiBeN3.

extended XYZ file:
```
5
Lattice="3.436 0.000 0.000 0.000 3.436 0.000 0.000 0.000 3.436" Properties=species:S:1:pos:R:3 pbc="T T T"
Be 0.000 0.000 0.000
Li 1.718 1.718 1.718
N 1.718 0.000 0.000
N 0.000 0.000 1.718
N 0.000 1.718 0.000
```

Summary:
**Space group**: No. 221
**Magnetic moment**: 0.00 μB/f.u.
**Formation energy from raw total energies**: 1.243 eV per atom

***

DFT (GGA-PBE) results for an optimized crystal structure of LiBe2N.

extended XYZ file:
```
8
Lattice="-2.530 4.076 -2.044 -2.314 0.866 4.592 0.310 4.651 2.240" Properties=species:S:1:pos:R:3 pbc="T T T"
Be -3.742 5.528 1.513
N -2.321 5.599 0.735
Be -1.151 5.180 1.777
N 0.000 0.000 0.000
Li -2.213 3.994 4.053
Be -2.124 7.109 0.176
Be -2.266 4.581 -0.526
Li -2.422 2.471 1.274
```

Summary:
**Space group**: No. 122
**Magnetic moment**: 0.00 μB/f.u.
**Formation energy from raw total energies**: -0.119 eV per atom

***

DFT (GGA-PBE) results for an optimized crystal structure of Li2Be2N.

extended XYZ file:
```
5
Lattice="2.753 0.000 0.000 0.000 2.753 0.000 1.376 1.376 6.366" Properties=species:S:1:pos:R:3 pbc="T T T"
Li 2.753 1.376 3.183
Be 1.376 1.376 1.006
Li 1.376 2.753 3.183
N 0.000 0.000 0.000
Be 2.753 2.753 5.360
```

Summary:
**Space group**: No. 139
**Magnetic moment**: 0.00 μB/f.u.
**Formation energy from raw total energies**: 0.909 eV per atom
**Relative energy among the computed polymorphs**: 893 meV/atom

***

DFT (GGA-PBE) results for an optimized crystal structure of LiBe3N.

extended XYZ file:
```
5
Lattice="3.813 0.000 0.000 0.000 3.813 0.000 0.000 0.000 3.813" Properties=species:S:1:pos:R:3 pbc="T T T"
Be 0.000 0.000 1.907
N 1.907 1.907 1.907
Be 0.000 1.907 0.000
Be 1.907 0.000 0.000
Li 0.000 0.000 0.000
```

Summary:
**Space group**: No. 221
**Magnetic moment**: 0.00 μB/f.u.
**Formation energy from raw total energies**: 1.994 eV per atom
**Relative energy among the computed polymorphs**: 1877 meV/atom

***

DFT (GGA-PBE) results for an optimized crystal structure of Li3BeN.

extended XYZ file:
```
5
Lattice="-3.182 1.951 1.167 -0.242 -2.287 3.163 2.260 2.502 1.982" Properties=species:S:1:pos:R:3 pbc="T T T"
Be -0.582 1.083 3.156
Li -0.121 -1.144 1.582
Li 1.130 1.251 0.991
N 0.000 0.000 0.000
Li -1.591 0.975 0.583
```

Summary:
**Space group**: No. 221
**Magnetic moment**: 0.00 μB/f.u.
**Formation energy from raw total energies**: 0.189 eV per atom
**Relative energy among the computed polymorphs**: 0 meV/atom

***

DFT (GGA-PBE) results for an optimized crystal structure of LiBeN3.

extended XYZ file:
```
5
Lattice="3.461 0.000 0.000 0.000 3.461 0.000 0.000 0.000 3.461" Properties=species:S:1:pos:R:3 pbc="T T T"
N 1.730 0.000 0.000
N 0.000 0.000 1.730
N 0.000 1.730 0.000
Li 0.000 0.000 0.000
Be 1.730 1.730 1.730
```

Summary:
**Space group**: No. 221
**Magnetic moment**: 0.00 μB/f.u.
**Formation energy from raw total energies**: 2.233 eV per atom

***

DFT (GGA-PBE) results for an optimized crystal structure of Li2Be2N.

extended XYZ file:
```
10
Lattice="4.732 0.000 0.000 0.000 4.732 0.000 0.000 0.000 4.261" Properties=species:S:1:pos:R:3 pbc="T T T"
Be 1.605 3.971 0.000
N 0.000 0.000 0.000
Li 0.867 3.233 2.131
Li 3.233 3.865 2.131
N 2.366 2.366 0.000
Be 3.971 3.128 0.000
Li 3.865 1.499 2.131
Be 3.128 0.762 0.000
Be 0.762 1.605 0.000
Li 1.499 0.867 2.131
```

Summary:
**Space group**: No. 127
**Magnetic moment**: 0.00 μB/f.u.
**Formation energy from raw total energies**: 0.016 eV per atom
**Relative energy among the computed polymorphs**: 0 meV/atom

***

DFT (GGA-PBE) results for an optimized crystal structure of LiBeN2.

extended XYZ file:
```
4
Lattice="1.666 0.000 5.250 -0.833 1.443 5.250 -0.833 -1.443 5.250" Properties=species:S:1:pos:R:3 pbc="T T T"
N 0.000 0.000 1.884
Li 0.000 0.000 0.000
Be 0.000 0.000 7.876
N 0.000 0.000 13.867
```

Summary:
**Space group**: No. 166
**Magnetic moment**: 0.00 μB/f.u.
**Formation energy from raw total energies**: 0.697 eV per atom

***

DFT (GGA-PBE) results for an optimized crystal structure of LiBeNbN2.

extended XYZ file:
```
5
Lattice="4.004 0.000 0.000 0.000 5.667 0.000 0.000 0.000 4.004" Properties=species:S:1:pos:R:3 pbc="T T T"
Nb 0.000 0.000 0.000
N 2.002 0.000 0.000
Be 2.002 2.833 2.002
N 0.000 0.000 2.002
Li 0.000 2.833 0.000
```

Summary:
**Space group**: No. 123
**Magnetic moment**: 0.36 μB/f.u.
**Formation energy from raw total energies**: 1.042 eV per atom

***

DFT (GGA-PBE) results for an optimized crystal structure of Li2BeNiN2.

extended XYZ file:
```
12
Lattice="2.958 0.000 0.000 0.000 3.892 0.000 0.000 0.000 9.305" Properties=species:S:1:pos:R:3 pbc="T T T"
Ni 1.479 1.946 0.000
Li 1.479 0.895 2.396
Be 1.479 1.946 4.653
N 0.000 1.152 1.060
N 1.479 3.098 3.593
Li 1.479 2.997 6.910
Ni 0.000 0.000 4.653
N 1.479 0.794 5.713
Li 0.000 2.841 2.257
Li 0.000 1.051 7.049
Be 0.000 0.000 0.000
N 0.000 2.740 8.245
```

Summary:
**Space group**: No. 58
**Magnetic moment**: 0.00 μB/f.u.
**Formation energy from raw total energies**: -0.409 eV per atom

***

DFT (GGA-PBE) results for an optimized crystal structure of Li2PaBe2N4.

extended XYZ file:
```
9
Lattice="3.255 0.000 0.000 -1.627 5.764 -1.966 0.000 -3.632 6.626" Properties=species:S:1:pos:R:3 pbc="T T T"
N 0.000 2.523 3.177
Be 0.000 3.659 -0.962
N 1.627 -0.134 4.692
Li 0.000 -0.278 3.099
Li 1.627 2.409 1.561
N 1.627 -0.391 1.483
N 0.000 2.265 -0.032
Pa 0.000 0.000 0.000
Be 1.627 -1.528 5.621
```

Summary:
**Space group**: No. 12
**Magnetic moment**: 0.00 μB/f.u.
**Formation energy from raw total energies**: -0.842 eV per atom

***

DFT (GGA-PBE) results for an optimized crystal structure of LiPa2BeN5.

extended XYZ file:
```
18
Lattice="3.364 0.000 0.000 -1.682 6.385 0.000 0.000 0.000 9.385" Properties=species:S:1:pos:R:3 pbc="T T T"
Be 1.682 0.536 8.886
Pa 1.682 4.591 7.810
N 1.682 1.952 4.845
Pa 1.682 4.880 1.835
N 1.682 2.614 1.854
Li 0.000 2.394 0.161
N 0.000 4.433 0.152
N 0.000 4.182 3.310
N 0.000 6.241 7.206
N 1.682 2.203 8.003
Li 1.682 3.991 4.853
N 1.682 6.126 4.672
Pa 0.000 1.794 3.118
N 1.682 0.144 2.514
Be 0.000 5.849 4.194
N 0.000 3.771 6.546
Pa 0.000 1.505 6.527
N 0.000 0.259 9.365
```

Summary:
**Space group**: No. 36
**Magnetic moment**: 0.00 μB/f.u.
**Formation energy from raw total energies**: -0.922 eV per atom

***

DFT (GGA-PBE) results for an optimized crystal structure of Li2BePdN.

extended XYZ file:
```
5
Lattice="4.348 0.000 0.000 0.000 4.348 0.000 0.000 0.000 3.066" Properties=species:S:1:pos:R:3 pbc="T T T"
Pd 2.174 2.174 1.533
N 0.000 0.000 0.000
Li 0.000 2.174 0.000
Li 2.174 0.000 0.000
Be 0.000 0.000 1.533
```

Summary:
**Space group**: No. 123
**Magnetic moment**: 0.00 μB/f.u.
**Formation energy from raw total energies**: -0.407 eV per atom

***

DFT (GGA-PBE) results for an optimized crystal structure of LiBePd2N.

extended XYZ file:
```
5
Lattice="-3.622 -2.131 -1.058 2.337 -2.825 -2.310 0.326 -1.830 2.568" Properties=species:S:1:pos:R:3 pbc="T T T"
Li -0.479 -3.393 -0.400
Pd 1.169 -1.413 -1.155
N 0.000 0.000 0.000
Pd -1.811 -1.065 -0.529
Be 0.163 -0.915 1.284
```

Summary:
**Space group**: No. 123
**Magnetic moment**: 0.00 μB/f.u.
**Formation energy from raw total energies**: -0.313 eV per atom

***

DFT (GGA-PBE) results for an optimized crystal structure of LiPrBeN2.

extended XYZ file:
```
10
Lattice="3.834 0.000 0.000 0.000 5.461 0.235 0.000 -1.407 6.135" Properties=species:S:1:pos:R:3 pbc="T T T"
Li 2.056 -1.055 4.601
Be 0.000 0.000 0.000
N 2.944 2.826 6.054
N 0.890 1.228 0.315
N 2.944 0.525 3.383
Li 1.778 -0.352 1.534
Pr 2.936 2.379 1.651
Pr 0.898 1.676 4.719
N 0.890 3.530 2.987
Be 0.000 -0.703 3.068
```

Summary:
**Space group**: No. 13
**Magnetic moment**: 0.00 μB/f.u.
**Formation energy from raw total energies**: -0.862 eV per atom

***

DFT (GGA-PBE) results for an optimized crystal structure of LiBeSN2.

extended XYZ file:
```
5
Lattice="-0.053 -0.433 3.369 1.974 -2.746 -0.322 4.488 3.170 0.477" Properties=species:S:1:pos:R:3 pbc="T T T"
Be 3.205 -0.004 1.762
N -0.026 -0.216 1.684
Li 0.000 0.000 0.000
S 2.244 1.585 0.239
N 0.987 -1.373 -0.161
```

Summary:
**Space group**: No. 123
**Magnetic moment**: 2.20 μB/f.u.
**Formation energy from raw total energies**: 1.646 eV per atom
**Relative energy among the computed polymorphs**: 850 meV/atom

***

DFT (GGA-PBE) results for an optimized crystal structure of LiBeSN2.

extended XYZ file:
```
5
Lattice="-3.073 1.387 -0.713 -1.509 -2.245 2.136 0.526 2.949 3.471" Properties=species:S:1:pos:R:3 pbc="T T T"
S 0.263 1.474 1.735
Be 0.000 0.000 0.000
N -1.537 0.693 -0.357
Li -2.028 1.046 2.447
N -0.754 -1.122 1.068
```

Summary:
**Space group**: No. 123
**Magnetic moment**: 0.00 μB/f.u.
**Formation energy from raw total energies**: 0.797 eV per atom
**Relative energy among the computed polymorphs**: 0 meV/atom

***

DFT (GGA-PBE) results for an optimized crystal structure of LiBeSeN2.

extended XYZ file:
```
5
Lattice="3.454 0.000 0.000 0.000 3.454 0.000 0.000 0.000 5.194" Properties=species:S:1:pos:R:3 pbc="T T T"
Be 0.000 0.000 0.000
N 1.727 0.000 0.000
Li 1.727 1.727 2.597
Se 0.000 0.000 2.597
N 0.000 1.727 0.000
```

Summary:
**Space group**: No. 123
**Magnetic moment**: 1.55 μB/f.u.
**Formation energy from raw total energies**: 0.813 eV per atom
**Relative energy among the computed polymorphs**: 0 meV/atom

***

DFT (GGA-PBE) results for an optimized crystal structure of LiBeSe2N.

extended XYZ file:
```
5
Lattice="5.213 0.000 0.000 0.000 5.213 0.000 0.000 0.000 2.985" Properties=species:S:1:pos:R:3 pbc="T T T"
Se 2.607 0.000 0.000
Be 0.000 0.000 0.000
N 0.000 0.000 1.492
Li 2.607 2.607 1.492
Se 0.000 2.607 0.000
```

Summary:
**Space group**: No. 123
**Magnetic moment**: 0.61 μB/f.u.
**Formation energy from raw total energies**: 0.065 eV per atom
**Relative energy among the computed polymorphs**: 0 meV/atom

***

DFT (GGA-PBE) results for an optimized crystal structure of LiBeSe2N.

extended XYZ file:
```
5
Lattice="4.398 0.000 0.000 0.000 5.371 0.000 0.000 0.000 4.398" Properties=species:S:1:pos:R:3 pbc="T T T"
Se 2.199 0.000 0.000
Li 0.000 2.685 0.000
Be 0.000 0.000 0.000
Se 0.000 0.000 2.199
N 2.199 2.685 2.199
```

Summary:
**Space group**: No. 123
**Magnetic moment**: 2.67 μB/f.u.
**Formation energy from raw total energies**: 0.922 eV per atom
**Relative energy among the computed polymorphs**: 856 meV/atom

***

DFT (GGA-PBE) results for an optimized crystal structure of LiBeSe2N.

extended XYZ file:
```
5
Lattice="-0.448 4.323 1.706 -1.158 -1.764 4.165 3.339 -0.018 0.921" Properties=species:S:1:pos:R:3 pbc="T T T"
Li 0.000 0.000 0.000
Se -0.579 -0.882 2.083
N 1.670 -0.009 0.461
Be 0.866 1.271 3.396
Se -0.224 2.162 0.853
```

Summary:
**Space group**: No. 123
**Magnetic moment**: 0.00 μB/f.u.
**Formation energy from raw total energies**: 1.127 eV per atom
**Relative energy among the computed polymorphs**: 1061 meV/atom

***

DFT (GGA-PBE) results for an optimized crystal structure of LiBeSeN2.

extended XYZ file:
```
5
Lattice="-1.919 -2.779 0.907 2.348 -0.819 2.459 -2.808 3.156 3.732" Properties=species:S:1:pos:R:3 pbc="T T T"
Be -1.189 -0.221 3.549
N -0.959 -1.390 0.453
Li 0.000 0.000 0.000
N 1.174 -0.409 1.229
Se -1.404 1.578 1.866
```

Summary:
**Space group**: No. 123
**Magnetic moment**: 2.44 μB/f.u.
**Formation energy from raw total energies**: 1.645 eV per atom
**Relative energy among the computed polymorphs**: 832 meV/atom

***

DFT (GGA-PBE) results for an optimized crystal structure of LiBe2SiN.

extended XYZ file:
```
5
Lattice="-1.208 3.647 -1.174 -3.482 -1.559 -1.260 -1.363 0.544 3.094" Properties=species:S:1:pos:R:3 pbc="T T T"
N -0.682 0.272 1.547
Be -0.604 1.824 -0.587
Si -3.027 1.316 0.330
Be -1.741 -0.779 -0.630
Li 0.000 0.000 0.000
```

Summary:
**Space group**: No. 123
**Magnetic moment**: 0.00 μB/f.u.
**Formation energy from raw total energies**: 1.279 eV per atom

***

DFT (GGA-PBE) results for an optimized crystal structure of LiSmBeN2.

extended XYZ file:
```
10
Lattice="-2.324 2.593 1.373 -3.359 -0.815 -4.147 -2.182 -4.102 4.051" Properties=species:S:1:pos:R:3 pbc="T T T"
N -4.099 -1.889 -0.974
N -3.767 -0.435 2.251
Sm -4.005 0.552 -0.009
Li -1.636 0.191 1.657
N -1.443 0.242 -0.503
Sm -3.861 -2.877 1.286
Be -1.091 -2.051 2.025
Be 0.000 0.000 0.000
N -6.422 -2.566 1.779
Li -2.871 -1.700 3.767
```

Summary:
**Space group**: No. 13
**Magnetic moment**: 0.00 μB/f.u.
**Formation energy from raw total energies**: -0.931 eV per atom

***

DFT (GGA-PBE) results for an optimized crystal structure of Sr2LiBeN2.

extended XYZ file:
```
12
Lattice="-4.667 -1.068 -2.472 2.233 -4.299 -2.359 -2.020 -4.117 5.591" Properties=species:S:1:pos:R:3 pbc="T T T"
Sr -0.606 -5.862 -2.197
N -1.579 -3.219 4.371
Be -2.227 -4.742 0.380
N -1.787 -3.843 -0.840
N -2.668 -5.641 1.600
Li -1.010 -2.058 2.796
Be 0.000 0.000 0.000
Sr -0.398 -5.238 3.014
Sr -3.848 -3.622 2.957
Sr 0.611 -3.178 0.219
Li -1.217 -2.684 -2.416
N 1.792 -5.197 -1.139
```

Summary:
**Space group**: No. 139
**Magnetic moment**: 0.00 μB/f.u.
**Formation energy from raw total energies**: -0.558 eV per atom

***

DFT (GGA-PBE) results for an optimized crystal structure of SrLiBeN2.

extended XYZ file:
```
5
Lattice="4.735 0.000 0.000 0.000 6.098 0.000 0.000 0.000 4.735" Properties=species:S:1:pos:R:3 pbc="T T T"
N 2.368 0.000 0.000
Be 2.368 3.049 2.368
N 0.000 0.000 2.368
Li 0.000 3.049 0.000
Sr 0.000 0.000 0.000
```

Summary:
**Space group**: No. 123
**Magnetic moment**: 3.18 μB/f.u.
**Formation energy from raw total energies**: 1.908 eV per atom